This record from the Alexandria database describes an optimized crystal structure of MnIrOF2. The functional is PBE with a Hubbard U.

## Properties
The total energy comes out at -5.64 eV per atom. For the density, the calculation gives 6.56 Mg/m³. The value obtained for the total magnetic moment is 1.123 μB/atom.

a = 4.518 Å, b = 4.518 Å, c = 3.732 Å
α = 90.00°, β = 90.00°, γ = 90.00°
Last column: magnetic moment on the atom in μB.
Sites, in units of the cell vectors:
Ir: 0.000 0.000 0.000  0.05
O: 0.000 0.000 0.500  0.02
Mn: 0.500 0.500 0.500  4.91
F: 0.000 0.500 0.000  0.05
F: 0.500 0.000 0.000  0.05